[1]
! La3P | the Alexandria database | PBE-GGA | optimized geometry; values from VASP
! - Energy relative to the lowest polymorph listed for this composition: 0.0724 eV per atom
! - ρ: 6.08 g/cm³
! - E_tot: -45.84 eV/cell
! - Symmetry: Cmcm (63)
! - Size of the total moment: 0.00 μB/f.u.
&SYSTEM
  ibrav = 0, nat = 8, ntyp = 2
/
ATOMIC_SPECIES
La 138.91 La.upf
P 30.97 P.upf
ATOMIC_POSITIONS crystal
La 0.181 0.456 0.750
La 0.913 0.087 0.250
La 0.456 0.181 0.250
La 0.087 0.913 0.750
La 0.544 0.819 0.750
La 0.819 0.544 0.250
P 0.755 0.245 0.750
P 0.245 0.755 0.250
CELL_PARAMETERS angstrom
-5.168 4.161 -4.627
3.628 -5.959 -4.093
-2.966 -2.523 1.044

---

[2]
! La2P | the Alexandria database | PBE-GGA | optimized geometry; values from VASP
! - ρ: 6.07 g/cm³
! - E_tot: -29.60 eV/cell
! - Symmetry: Fd-3m (227)
! - Size of the total moment: 0.00 μB/f.u.
&SYSTEM
  ibrav = 0, nat = 6, ntyp = 2
/
ATOMIC_SPECIES
P 30.97 P.upf
La 138.91 La.upf
ATOMIC_POSITIONS crystal
P 0.750 0.750 0.750
P 0.500 0.500 0.500
La 0.125 0.125 0.125
La 0.125 0.125 0.625
La 0.625 0.125 0.125
La 0.125 0.625 0.125
CELL_PARAMETERS angstrom
0.000 4.387 4.387
4.387 0.000 4.387
4.387 4.387 0.000

---

[3]
! La5P | the Alexandria database | PBE-GGA | optimized geometry; values from VASP
! - Energy relative to the lowest polymorph listed for this composition: 0.7172 eV per atom
! - ρ: 6.20 g/cm³
! - E_tot: -28.23 eV/cell
! - Symmetry: F-43m (216)
! - Size of the total moment: 0.01 μB/f.u.
&SYSTEM
  ibrav = 0, nat = 6, ntyp = 2
/
ATOMIC_SPECIES
La 138.91 La.upf
P 30.97 P.upf
ATOMIC_POSITIONS crystal
La 0.623 0.623 0.130
La 0.130 0.623 0.623
La 0.623 0.130 0.623
La 0.623 0.623 0.623
La 0.250 0.250 0.250
P 0.000 0.000 0.000
CELL_PARAMETERS angstrom
0.000 4.596 4.596
4.596 0.000 4.596
4.596 4.596 0.000

---

[4]
! LaP3 | the Alexandria database | PBE-GGA | optimized geometry; values from VASP
! - ρ: 4.83 g/cm³
! - E_tot: -44.04 eV/cell
! - Symmetry: Pm-3n (223)
! - Size of the total moment: 0.00 μB/f.u.
&SYSTEM
  ibrav = 0, nat = 8, ntyp = 2
/
ATOMIC_SPECIES
P 30.97 P.upf
La 138.91 La.upf
ATOMIC_POSITIONS crystal
P 0.500 0.000 0.750
P 0.500 0.000 0.250
P 0.000 0.250 0.500
P 0.250 0.500 0.000
P 0.750 0.500 0.000
P 0.000 0.750 0.500
La 0.500 0.500 0.500
La 0.000 0.000 0.000
CELL_PARAMETERS angstrom
5.422 0.000 0.000
0.000 5.422 0.000
0.000 0.000 5.422

---

[5]
! La3P | the Alexandria database | PBE-GGA | optimized geometry; values from VASP
! - Energy relative to the lowest polymorph listed for this composition: 0.2992 eV per atom
! - ρ: 6.80 g/cm³
! - E_tot: -44.02 eV/cell
! - Symmetry: I4/mmm (139)
! - Size of the total moment: 0.00 μB/f.u.
&SYSTEM
  ibrav = 0, nat = 8, ntyp = 2
/
ATOMIC_SPECIES
La 138.91 La.upf
P 30.97 P.upf
ATOMIC_POSITIONS crystal
La 0.250 0.750 0.500
La 0.875 0.875 0.000
La 0.000 0.500 0.500
La 0.500 0.000 0.500
La 0.125 0.125 0.000
La 0.750 0.250 0.500
P 0.620 0.620 0.000
P 0.380 0.380 0.000
CELL_PARAMETERS angstrom
-2.357 2.357 9.841
2.357 -2.357 9.841
2.357 2.357 -9.841

---

[6]
! La3P | the Alexandria database | PBE-GGA | optimized geometry; values from VASP
! - Energy relative to the lowest polymorph listed for this composition: 0.4455 eV per atom
! - ρ: 6.43 g/cm³
! - E_tot: -42.85 eV/cell
! - Symmetry: Pm-3n (223)
! - Size of the total moment: 0.10 μB/f.u.
&SYSTEM
  ibrav = 0, nat = 8, ntyp = 2
/
ATOMIC_SPECIES
La 138.91 La.upf
P 30.97 P.upf
ATOMIC_POSITIONS crystal
La 0.500 0.000 0.250
La 0.750 0.500 0.000
La 0.250 0.500 0.000
La 0.000 0.750 0.500
La 0.500 0.000 0.750
La 0.000 0.250 0.500
P 0.000 0.000 0.000
P 0.500 0.500 0.500
CELL_PARAMETERS angstrom
-1.179 -1.082 5.925
0.381 -6.039 -1.027
6.011 0.170 1.227

---

[7]
! La4P3 | the Alexandria database | PBE-GGA | optimized geometry; values from VASP
! - Energy relative to the lowest polymorph listed for this composition: 0.1429 eV per atom
! - ρ: 5.39 g/cm³
! - E_tot: -44.38 eV/cell
! - Symmetry: I4/mmm (139)
! - Size of the total moment: 0.00 μB/f.u.
&SYSTEM
  ibrav = 0, nat = 7, ntyp = 2
/
ATOMIC_SPECIES
La 138.91 La.upf
P 30.97 P.upf
ATOMIC_POSITIONS crystal
La 0.190 0.190 0.000
La 0.438 0.438 0.000
La 0.810 0.810 0.000
La 0.562 0.562 0.000
P 0.316 0.316 0.000
P 0.684 0.684 0.000
P 0.000 0.000 0.000
CELL_PARAMETERS angstrom
-2.069 2.069 11.669
2.069 -2.069 11.669
2.069 2.069 -11.669

---

[8]
! LaP | the Alexandria database | PBE-GGA | optimized geometry; values from VASP
! - ρ: 5.10 g/cm³
! - E_tot: -13.49 eV/cell
! - Symmetry: Fm-3m (225)
! - Size of the total moment: 0.00 μB/f.u.
&SYSTEM
  ibrav = 0, nat = 2, ntyp = 2
/
ATOMIC_SPECIES
La 138.91 La.upf
P 30.97 P.upf
ATOMIC_POSITIONS crystal
La 0.500 0.500 0.500
P 0.000 0.000 0.000
CELL_PARAMETERS angstrom
4.278 0.000 0.000
2.139 3.705 0.000
2.139 1.235 3.493

---

[9]
! LaP | the Alexandria database | PBE-GGA | optimized geometry; values from VASP
! - ρ: 5.02 g/cm³
! - E_tot: -23.67 eV/cell
! - Symmetry: R-3m (166)
! - Size of the total moment: 0.00 μB/f.u.
&SYSTEM
  ibrav = 0, nat = 4, ntyp = 2
/
ATOMIC_SPECIES
La 138.91 La.upf
P 30.97 P.upf
ATOMIC_POSITIONS crystal
La 0.916 0.916 0.916
La 0.084 0.084 0.084
P 0.334 0.334 0.334
P 0.666 0.666 0.666
CELL_PARAMETERS angstrom
7.697 0.006 0.003
6.541 4.057 0.003
6.541 1.867 3.603

---

[10]
! LaP2 | the Alexandria database | PBE-GGA | optimized geometry; values from VASP
! - ρ: 5.06 g/cm³
! - E_tot: -74.86 eV/cell
! - Symmetry: Fddd (70)
! - Size of the total moment: 0.00 μB/f.u.
&SYSTEM
  ibrav = 0, nat = 12, ntyp = 2
/
ATOMIC_SPECIES
P 30.97 P.upf
La 138.91 La.upf
ATOMIC_POSITIONS crystal
P 0.500 0.000 0.500
P 0.392 0.392 0.000
P 0.250 0.250 0.000
P 0.608 0.608 0.000
P 0.000 0.500 0.500
P 0.358 0.858 0.500
P 0.750 0.750 0.000
P 0.142 0.642 0.500
La 0.818 0.318 0.500
La 0.682 0.182 0.500
La 0.932 0.932 0.000
La 0.068 0.068 0.000
CELL_PARAMETERS angstrom
-15.635 -4.895 -2.136
-15.422 -4.762 3.530
14.679 7.555 -0.729

---

[11]
! LaP | the Alexandria database | PBE-GGA | optimized geometry; values from VASP
! - ρ: 5.50 g/cm³
! - E_tot: -24.99 eV/cell
! - Symmetry: I4_1/amd (141)
! - Size of the total moment: 0.00 μB/f.u.
&SYSTEM
  ibrav = 0, nat = 4, ntyp = 2
/
ATOMIC_SPECIES
La 138.91 La.upf
P 30.97 P.upf
ATOMIC_POSITIONS crystal
La 0.750 0.250 0.500
La 0.000 0.000 0.000
P 0.500 0.500 0.000
P 0.250 0.750 0.500
CELL_PARAMETERS angstrom
6.533 -0.004 -0.008
3.837 5.288 0.008
-5.181 -2.650 2.970

---

[12]
! LaP | the Alexandria database | PBE-GGA | optimized geometry; values from VASP
! - ρ: 3.89 g/cm³
! - E_tot: -50.28 eV/cell
! - Symmetry: F-43m (216)
! - Size of the total moment: 0.00 μB/f.u.
&SYSTEM
  ibrav = 0, nat = 8, ntyp = 2
/
ATOMIC_SPECIES
La 138.91 La.upf
P 30.97 P.upf
ATOMIC_POSITIONS crystal
La 0.000 0.000 0.000
La 0.500 0.500 0.000
La 0.500 0.000 0.500
La 0.000 0.500 0.500
P 0.750 0.250 0.750
P 0.750 0.750 0.250
P 0.250 0.750 0.750
P 0.250 0.250 0.250
CELL_PARAMETERS angstrom
-2.891 4.144 4.276
-1.731 -5.132 3.804
5.697 0.543 3.325

---

[13]
! La5P | the Alexandria database | PBE-GGA | optimized geometry; values from VASP
! - Energy relative to the lowest polymorph listed for this composition: 0.1422 eV per atom
! - ρ: 6.33 g/cm³
! - E_tot: -31.68 eV/cell
! - Symmetry: Amm2 (38)
! - Size of the total moment: 0.00 μB/f.u.
&SYSTEM
  ibrav = 0, nat = 6, ntyp = 2
/
ATOMIC_SPECIES
La 138.91 La.upf
P 30.97 P.upf
ATOMIC_POSITIONS crystal
La 0.484 0.516 0.500
La 0.753 0.247 0.500
La 0.645 0.355 0.000
La 0.333 0.667 0.000
La 0.004 0.996 0.000
P 0.114 0.886 0.500
CELL_PARAMETERS angstrom
-2.960 7.738 4.110
-0.844 -8.121 -4.343
-0.036 -2.589 4.848

---

[14]
! La2P | the Alexandria database | PBE-GGA | optimized geometry; values from VASP
! - ρ: 5.98 g/cm³
! - E_tot: -36.10 eV/cell
! - Symmetry: I4/mcm (140)
! - Size of the total moment: 0.00 μB/f.u.
&SYSTEM
  ibrav = 0, nat = 6, ntyp = 2
/
ATOMIC_SPECIES
La 138.91 La.upf
P 30.97 P.upf
ATOMIC_POSITIONS crystal
La 0.320 0.180 0.500
La 0.680 0.820 0.500
La 0.180 0.680 0.859
La 0.820 0.320 0.141
P 0.250 0.250 0.000
P 0.750 0.750 0.000
CELL_PARAMETERS angstrom
-3.445 3.445 3.609
3.445 -3.445 3.609
3.445 3.445 -3.609